Pr4SbAs3: optimized geometry, PBE.

**DFT total energy**: -6.04 eV per atom
**Space-group type**: No. 221
**Formation energy from raw total energies**: -1.39 eV/atom
**M_tot**: 0.00 μB per cell

a b c (Å): 6.1867 6.1867 6.1867
angles (deg): 90.00 90.00 90.00
Last column: nearest neighbours and their distance in Å.
Fractional coordinates of all 8 atoms:
1 Pr 0.5000 0.0000 0.0000  4 As 3.09, 2 Sb 3.09
2 Pr 0.0000 0.5000 0.0000  4 As 3.09, 2 Sb 3.09
3 Pr 0.0000 0.0000 0.5000  4 As 3.09, 2 Sb 3.09
4 Pr 0.5000 0.5000 0.5000  6 As 3.09
5 Sb 0.0000 0.0000 0.0000  6 Pr 3.09
6 As 0.0000 0.5000 0.5000  6 Pr 3.09
7 As 0.5000 0.0000 0.5000  6 Pr 3.09
8 As 0.5000 0.5000 0.0000  6 Pr 3.09